Entry 1:
Below is a geometry-optimized LiAc2Pt3 structure, with properties calculated at the GGA-PBE level.

V in Å³/cell: 294.4
Space-group type: No. 194

Lattice parameters (Å, degrees): 4.5524 4.5524 16.4038 90.00 90.00 120.00
Last column: nearest neighbours and their distance in Å.
Element x y z (fractional)
Pt (0.3333, 0.6667, 0.4932)  3 Pt 2.64
Li (0.3333, 0.6667, 0.2500)  3 Pt 2.63
Li (0.6667, 0.3333, 0.7500)  3 Pt 2.63
Ac (0.0000, 0.0000, 0.1215)  9 Pt 3.23-3.37, 3 Li 3.37
Pt (0.6667, 0.3333, 0.9932)  3 Pt 2.64
Pt (0.3333, 0.6667, 0.7500)  3 Li 2.63
Pt (0.6667, 0.3333, 0.2500)  3 Li 2.63
Ac (0.0000, 0.0000, 0.3785)  9 Pt 3.23-3.37, 3 Li 3.37
Pt (0.6667, 0.3333, 0.5068)  3 Pt 2.64
Ac (0.0000, 0.0000, 0.8785)  9 Pt 3.23-3.37, 3 Li 3.37
Ac (0.0000, 0.0000, 0.6215)  9 Pt 3.23-3.37, 3 Li 3.37
Pt (0.3333, 0.6667, 0.0068)  3 Pt 2.64

Entry 2:
Below is a geometry-optimized Zn2PbF6 structure, with properties calculated at the GGA-PBE level.

V in Å³/cell: 135.8
Formation energy without anion corrections in meV/atom: -2354.1
Space-group type: No. 162

Lattice parameters (Å, degrees): 5.2769 5.4515 5.4515 120.00 90.00 90.00
Last column: nearest neighbours and their distance in Å.
Element x y z (fractional)
F (0.2863, 0.0000, 0.6340)  2 Zn 2.07
F (0.7137, 0.3660, 0.0000)  2 Zn 2.07
Zn (0.5000, 0.3333, 0.6667)  6 F 2.07
F (0.7137, 0.6340, 0.6340)  2 Zn 2.07
Zn (0.5000, 0.6667, 0.3333)  6 F 2.07
F (0.7137, 0.0000, 0.3660)  2 Zn 2.07
Pb (0.0000, 0.0000, 0.0000)  6 F 2.50
F (0.2863, 0.3660, 0.3660)  2 Zn 2.07
F (0.2863, 0.6340, 0.0000)  2 Zn 2.07

Entry 3:
Below is a geometry-optimized RbTcMo3 structure, with properties calculated at the GGA-PBE level.

V in Å³/cell: 116.1
Space-group type: No. 221

Lattice parameters (Å, degrees): 4.8780 4.8780 4.8780 90.00 90.00 90.00
Last column: nearest neighbours and their distance in Å.
Element x y z (fractional)
Mo (0.0000, 0.0000, 0.5000)  2 Tc 2.44
Mo (0.5000, 0.0000, 0.0000)  2 Tc 2.44
Rb (0.5000, 0.5000, 0.5000)  12 Mo 3.45
Mo (0.0000, 0.5000, 0.0000)  2 Tc 2.44
Tc (0.0000, 0.0000, 0.0000)  6 Mo 2.44

Entry 4:
Below is a geometry-optimized BeCd2Ag structure, with properties calculated at the GGA-PBE level.

V in Å³/cell: 156.6
Space-group type: No. 122

Lattice parameters (Å, degrees): 7.8097 7.8097 6.0902 50.12 50.12 90.00
Last column: nearest neighbours and their distance in Å.
Element x y z (fractional)
Cd (0.8750, 0.8020, 0.7500)  2 Be 2.48
Cd (0.3750, 0.4480, 0.7500)  2 Be 2.48
Be (0.5000, 0.5000, 0.0000)  4 Cd 2.48, 2 Ag 2.57
Ag (0.0000, 0.0000, 0.0000)  2 Be 2.57
Cd (0.1980, 0.6250, 0.2500)  2 Be 2.48
Cd (0.5520, 0.1250, 0.2500)  2 Be 2.48
Ag (0.7500, 0.2500, 0.5000)  2 Be 2.57
Be (0.2500, 0.7500, 0.5000)  4 Cd 2.48, 2 Ag 2.57

Entry 5:
Below is a geometry-optimized CsUZn2I8 structure, with properties calculated at the GGA-PBE level.

V in Å³/cell: 548.3
Formation energy without anion corrections in meV/atom: -799.7
Space-group type: No. 147

Lattice parameters (Å, degrees): 7.5481 7.5481 11.1134 90.00 90.00 120.00
Last column: nearest neighbours and their distance in Å.
Element x y z (fractional)
I (0.6667, 0.3333, 0.0202)  1 Zn 2.55
I (0.9973, 0.3318, 0.6688)  1 Zn 2.69
I (0.3344, 0.0027, 0.6688)  1 Zn 2.69
I (0.6656, 0.9973, 0.3312)  1 Zn 2.69
I (0.6682, 0.6656, 0.6688)  1 Zn 2.69
I (0.0027, 0.6682, 0.3312)  1 Zn 2.69
Zn (0.6667, 0.3333, 0.2501)  4 I 2.55-2.69
I (0.3318, 0.3344, 0.3312)  1 Zn 2.69
U (0.0000, 0.0000, 0.5000)  6 I 3.14
Zn (0.3333, 0.6667, 0.7499)  4 I 2.55-2.69
I (0.3333, 0.6667, 0.9798)  1 Zn 2.55
Cs (0.0000, 0.0000, 0.0000)  12 I 4.36-4.46

Entry 6:
Below is a geometry-optimized LaMnMo2 structure, with properties calculated at the GGA-PBE level.

V in Å³/cell: 72.2
Space-group type: No. 123

Lattice parameters (Å, degrees): 4.6817 4.6817 3.2957 90.00 90.00 90.00
Last column: nearest neighbours and their distance in Å.
Element x y z (fractional)
Mn (0.0000, 0.5000, 0.5000)  8 Mo 2.86
Mo (0.0000, 0.0000, 0.0000)  4 La 2.86, 4 Mn 2.86
Mo (0.5000, 0.5000, 0.0000)  4 Mn 2.86, 4 La 2.86
La (0.5000, 0.0000, 0.5000)  8 Mo 2.86

| no. | E_tot (eV/atom) |
| --- | --- |
| 1 | -5.60 |
| 2 | -4.30 |
| 3 | -6.93 |
| 4 | -1.69 |
| 5 | -3.06 |
| 6 | -8.18 |